1.
{
  "formula": "GdDyZnGa",
  "functional": "PBE-GGA",
  "state": "relaxed",
  "lattice_angstrom": [[5.080, 0.000, 0.000], [2.540, 4.400, 0.000], [2.540, 1.467, 4.148]],
  "species": ["Gd", "Ga", "Zn", "Dy"],
  "fractional_positions": [[0.500, 0.500, 0.500], [0.250, 0.250, 0.250], [0.750, 0.750, 0.750], [0.000, 0.000, 0.000]],
  "vol_a3_per_cell": 93,
  "ef_ev_per_fu": -1.9,
  "energy_ev_per_cell": -24.90
}

2.
{
  "formula": "BiAu3O",
  "functional": "PBE-GGA",
  "state": "relaxed",
  "lattice_angstrom": [[5.367, 0.000, 0.000], [0.000, 5.367, 0.000], [0.000, 0.000, 5.367]],
  "species": ["O", "Au", "Au", "Au", "Bi"],
  "fractional_positions": [[0.500, 0.500, 0.500], [0.000, 0.000, 0.500], [0.000, 0.500, 0.000], [0.500, 0.000, 0.000], [0.000, 0.000, 0.000]],
  "vol_a3_per_cell": 155,
  "e_above_lowest_polymorph_mev_per_atom": 881,
  "formation_energy_uncorrected_ev_per_atom": 1.2150,
  "energy_ev_per_cell": -12.60
}

3.
{
  "formula": "CdClF2",
  "functional": "PBE-GGA",
  "state": "relaxed",
  "lattice_angstrom": [[6.260, 0.000, 0.000], [0.000, 6.260, 0.000], [3.130, 3.130, 5.069]],
  "species": ["Cl", "F", "F", "F", "Cl", "F", "Cd", "Cd"],
  "fractional_positions": [[0.500, 0.500, 0.000], [0.875, 0.009, 0.750], [0.375, 0.241, 0.750], [0.991, 0.625, 0.250], [0.250, 0.750, 0.500], [0.759, 0.125, 0.250], [0.000, 0.000, 0.000], [0.750, 0.250, 0.500]],
  "vol_a3_per_cell": 199,
  "e_above_lowest_polymorph_mev_per_atom": 425,
  "formation_energy_uncorrected_ev_per_atom": -1.1638,
  "energy_ev_per_cell": -22.32
}

4.
{
  "formula": "MnIn3Ga",
  "functional": "PBE-GGA",
  "state": "relaxed",
  "lattice_angstrom": [[-0.858, 0.928, 4.926], [-2.438, -4.444, 0.413], [4.380, -2.292, 1.195]],
  "species": ["In", "Mn", "In", "In", "Ga"],
  "fractional_positions": [[0.000, 0.500, 0.000], [0.000, 0.000, 0.000], [0.500, 0.000, 0.000], [0.000, 0.000, 0.500], [0.500, 0.500, 0.500]],
  "vol_a3_per_cell": 132,
  "ef_ev_per_fu": 1.6,
  "e_above_lowest_polymorph_mev_per_atom": 0,
  "energy_ev_per_cell": -18.84
}

5.
{
  "formula": "Sc8TlIr2",
  "functional": "PBE-GGA",
  "state": "relaxed",
  "lattice_angstrom": [[-2.079, 4.421, -0.240], [2.007, 0.608, -6.186], [-6.276, -5.610, 0.861]],
  "species": ["Sc", "Ir", "Sc", "Sc", "Sc", "Sc", "Ir", "Sc", "Sc", "Tl", "Sc"],
  "fractional_positions": [[0.965, 0.013, 0.566], [0.465, 0.275, 0.567], [0.927, 0.432, 0.490], [0.748, 0.939, 0.132], [0.636, 0.278, 0.909], [0.136, 0.544, 0.909], [0.808, 0.617, 0.251], [0.346, 0.851, 0.328], [0.525, 0.715, 0.686], [0.136, 0.979, 0.909], [0.308, 0.357, 0.252]],
  "vol_a3_per_cell": 237,
  "ef_ev_per_fu": -5.4,
  "energy_ev_per_cell": -76.19
}

6.
{
  "formula": "MnInFe2",
  "functional": "PBE-GGA",
  "state": "relaxed",
  "lattice_angstrom": [[4.886, -0.209, -0.243], [2.148, 4.393, 0.243], [-3.066, -2.849, 2.540]],
  "species": ["In", "Fe", "Fe", "Mn"],
  "fractional_positions": [[0.506, 0.506, 0.000], [0.769, 0.269, 0.500], [0.988, 0.988, 0.000], [0.238, 0.738, 0.500]],
  "vol_a3_per_cell": 57,
  "ef_ev_per_fu": 0.8,
  "energy_ev_per_cell": -27.99
}